[1]
Material: DyThRu2
Method: DFT, GGA-PBEsol
State: optimized geometry

Computed properties:
DFT total energy in eV/atom: -8.7031

Lattice parameters (Å, degrees): 4.8467 4.8467 4.8467 60.00 60.00 60.00
Last column: nearest neighbours and their distance in Å.
Fractional positions:
Dy  0.0000  0.0000  0.0000  8 Ru 2.97
Th  0.5000  0.5000  0.5000  8 Ru 2.97
Ru  0.2500  0.2500  0.2500  4 Dy 2.97, 4 Th 2.97
Ru  0.7500  0.7500  0.7500  4 Th 2.97, 4 Dy 2.97

=====

[2]
Material: DyZn20Ru2
Method: DFT, GGA-PBEsol
State: optimized geometry

Computed properties:
DFT total energy in eV/atom: -2.6621

Lattice parameters (Å, degrees): 9.8794 9.8794 9.8794 60.00 60.00 60.00
Last column: nearest neighbours and their distance in Å.
Fractional positions:
Dy  0.1250  0.1250  0.1250  16 Zn 3.02-3.08
Dy  0.8750  0.8750  0.8750  16 Zn 3.02-3.08
Zn  0.0000  0.0000  0.0000  12 Zn 2.98, 2 Dy 3.02
Zn  0.0000  0.0000  0.5000  12 Zn 2.98, 2 Dy 3.02
Zn  0.0000  0.5000  0.0000  12 Zn 2.98, 2 Dy 3.02
Zn  0.0565  0.3247  0.3247  8 Zn 2.59-2.83, 1 Ru 2.72
Zn  0.0565  0.3247  0.7942  8 Zn 2.59-2.83, 1 Ru 2.72
Zn  0.0565  0.7942  0.3247  8 Zn 2.59-2.83, 1 Ru 2.72
Zn  0.2058  0.6753  0.6753  8 Zn 2.59-2.83, 1 Ru 2.72
Zn  0.2058  0.6753  0.9435  8 Zn 2.59-2.83, 1 Ru 2.72
Zn  0.2058  0.9435  0.6753  8 Zn 2.59-2.83, 1 Ru 2.72
Zn  0.2382  0.2382  0.5118  2 Ru 2.48, 10 Zn 2.63-2.75
Zn  0.2382  0.5118  0.2382  2 Ru 2.48, 10 Zn 2.63-2.75
Zn  0.2382  0.5118  0.5118  2 Ru 2.48, 10 Zn 2.63-2.75
Zn  0.3247  0.0565  0.3247  8 Zn 2.59-2.83, 1 Ru 2.72
Zn  0.3247  0.0565  0.7942  8 Zn 2.59-2.83, 1 Ru 2.72
Zn  0.3247  0.3247  0.0565  8 Zn 2.59-2.83, 1 Ru 2.72
Zn  0.3247  0.3247  0.7942  8 Zn 2.59-2.83, 1 Ru 2.72
Zn  0.3247  0.7942  0.0565  8 Zn 2.59-2.83, 1 Ru 2.72
Zn  0.3247  0.7942  0.3247  8 Zn 2.59-2.83, 1 Ru 2.72
Zn  0.4882  0.4882  0.7618  2 Ru 2.48, 10 Zn 2.63-2.75
Zn  0.4882  0.7618  0.4882  2 Ru 2.48, 10 Zn 2.63-2.75
Zn  0.4882  0.7618  0.7618  2 Ru 2.48, 10 Zn 2.63-2.75
Zn  0.5000  0.0000  0.0000  12 Zn 2.98, 2 Dy 3.02
Zn  0.5118  0.2382  0.2382  2 Ru 2.48, 10 Zn 2.63-2.75
Zn  0.5118  0.2382  0.5118  2 Ru 2.48, 10 Zn 2.63-2.75
Zn  0.5118  0.5118  0.2382  2 Ru 2.48, 10 Zn 2.63-2.75
Zn  0.6753  0.2058  0.6753  8 Zn 2.59-2.83, 1 Ru 2.72
Zn  0.6753  0.2058  0.9435  8 Zn 2.59-2.83, 1 Ru 2.72
Zn  0.6753  0.6753  0.2058  8 Zn 2.59-2.83, 1 Ru 2.72
Zn  0.6753  0.6753  0.9435  8 Zn 2.59-2.83, 1 Ru 2.72
Zn  0.6753  0.9435  0.2058  8 Zn 2.59-2.83, 1 Ru 2.72
Zn  0.6753  0.9435  0.6753  8 Zn 2.59-2.83, 1 Ru 2.72
Zn  0.7618  0.4882  0.4882  2 Ru 2.48, 10 Zn 2.63-2.75
Zn  0.7618  0.4882  0.7618  2 Ru 2.48, 10 Zn 2.63-2.75
Zn  0.7618  0.7618  0.4882  2 Ru 2.48, 10 Zn 2.63-2.75
Zn  0.7942  0.0565  0.3247  8 Zn 2.59-2.83, 1 Ru 2.72
Zn  0.7942  0.3247  0.0565  8 Zn 2.59-2.83, 1 Ru 2.72
Zn  0.7942  0.3247  0.3247  8 Zn 2.59-2.83, 1 Ru 2.72
Zn  0.9435  0.2058  0.6753  8 Zn 2.59-2.83, 1 Ru 2.72
Zn  0.9435  0.6753  0.2058  8 Zn 2.59-2.83, 1 Ru 2.72
Zn  0.9435  0.6753  0.6753  8 Zn 2.59-2.83, 1 Ru 2.72
Ru  0.0000  0.5000  0.5000  12 Zn 2.48-2.72
Ru  0.5000  0.0000  0.5000  12 Zn 2.48-2.72
Ru  0.5000  0.5000  0.0000  12 Zn 2.48-2.72
Ru  0.5000  0.5000  0.5000  12 Zn 2.48-2.72

=====

Result set for formation energy from the elements: -346, -185 meV/atom, one per record in the order listed.
Result set for total moment: 0.00, 0.00 Bohr magnetons per cell, one per record in the order listed.